## NaAsAu (GGA-PBE)

Data for a relaxed NaAsAu crystal.

a b c (Å): 4.5361 4.5361 4.5361
angles (deg): 60.00 60.00 60.00
With the nearest neighbours (Å) after each atom.
Fractional coordinates of all 3 atoms:
1 As 0.0000 0.0000 0.0000  4 Au 2.78
2 Na 0.5000 0.5000 0.5000  4 Au 2.78
3 Au 0.2500 0.2500 0.2500  4 As 2.78, 4 Na 2.78

Summary:
E_form = -0.49 eV per formula unit
DOS(E_F) = 2.16 states/eV per cell
uncorrected energy = -9.737 eV per cell

## Na2As2Au (GGA-PBE)

Data for a relaxed Na2As2Au crystal.

a b c (Å): 4.4784 5.8621 9.5261
angles (deg): 84.00 76.40 67.54
With the nearest neighbours (Å) after each atom.
Fractional coordinates of all 10 atoms:
1 As 0.0149 0.8633 0.1070  1 As 2.45, 1 Au 2.58
2 As 0.1300 0.2878 0.4522  1 As 2.48, 2 Au 2.63
3 As 0.9851 0.1367 0.8930  1 As 2.45, 1 Au 2.58
4 As 0.8700 0.7122 0.5478  1 As 2.48, 2 Au 2.63
5 Au 0.7669 0.1311 0.3352  3 As 2.58-2.63
6 Au 0.2331 0.8689 0.6648  3 As 2.58-2.63
7 Na 0.4893 0.7044 0.3170  7 As 3.08-3.42, 4 Au 3.11-3.36
8 Na 0.6936 0.7179 0.8949  6 As 3.09-3.21, 2 Au 3.19
9 Na 0.3064 0.2821 0.1051  6 As 3.09-3.21, 2 Au 3.19
10 Na 0.5107 0.2956 0.6830  7 As 3.08-3.42, 4 Au 3.11-3.36

Summary:
distance to the lowest polymorph of the same formula = 0.0000 eV per atom
E_form = -1.80 eV per formula unit
DOS(E_F) = 2.65 states/eV per cell
uncorrected energy = -34.039 eV per cell

## NaAs2Au2 (GGA-PBE)

Data for a relaxed NaAs2Au2 crystal.

a b c (Å): 8.1902 8.1902 3.0436
angles (deg): 90.00 90.00 90.00
With the nearest neighbours (Å) after each atom.
Fractional coordinates of all 10 atoms:
1 As 0.8580 0.6420 0.0000  6 Au 2.72-2.93, 2 As 3.04
2 As 0.1420 0.3580 0.0000  6 Au 2.72-2.93, 2 As 3.04
3 As 0.3580 0.8580 0.0000  6 Au 2.72-2.93, 2 As 3.04
4 As 0.6420 0.1420 0.0000  6 Au 2.72-2.93, 2 As 3.04
5 Au 0.1634 0.6634 0.5000  6 As 2.72-2.93, 2 Au 3.04
6 Au 0.8366 0.3366 0.5000  6 As 2.72-2.93, 2 Au 3.04
7 Au 0.6634 0.8366 0.5000  6 As 2.72-2.93, 2 Au 3.04
8 Au 0.3366 0.1634 0.5000  6 As 2.72-2.93, 2 Au 3.04
9 Na 0.0000 0.0000 0.0000  2 Na 3.04, 4 As 3.15
10 Na 0.5000 0.5000 0.0000  2 Na 3.04, 4 As 3.15

Summary:
distance to the lowest polymorph of the same formula = 0.1459 eV per atom
E_form = -0.01 eV per formula unit
DOS(E_F) = 2.87 states/eV per cell
uncorrected energy = -34.364 eV per cell

## Na2As3Au (GGA-PBE)

Data for a relaxed Na2As3Au crystal.

a b c (Å): 7.9899 8.2015 11.0443
angles (deg): 79.85 68.79 60.85
With the nearest neighbours (Å) after each atom.
Fractional coordinates of all 24 atoms:
1 Na 0.6501 0.0000 0.6998  4 As 3.05-3.08, 2 Au 3.30
2 Na 0.4001 0.5000 0.1998  4 As 3.05-3.08, 2 Au 3.30
3 Na 0.0999 0.5000 0.8002  4 As 3.05-3.08, 2 Au 3.30
4 Na 0.8808 0.5000 0.2384  6 As 3.08-3.33, 2 Au 3.33
5 Na 0.3499 0.0000 0.3002  4 As 3.05-3.08, 2 Au 3.30
6 Na 0.8692 0.0000 0.2616  6 As 3.08-3.33, 2 Au 3.33
7 Na 0.1308 0.0000 0.7384  6 As 3.08-3.33, 2 Au 3.33
8 Na 0.6192 0.5000 0.7616  6 As 3.08-3.33, 2 Au 3.33
9 Au 0.1365 0.7270 0.0000  3 As 2.54-2.66
10 Au 0.8635 0.2730 0.0000  3 As 2.54-2.66
11 Au 0.8865 0.2270 0.5000  3 As 2.54-2.66
12 Au 0.6135 0.7730 0.5000  3 As 2.54-2.66
13 As 0.3221 0.3558 0.0000  2 As 2.51, 1 Au 2.66
14 As 0.3682 0.6353 0.5759  2 As 2.49-2.51, 1 Au 2.54
15 As 0.3818 0.8647 0.9241  2 As 2.49-2.51, 1 Au 2.54
16 As 0.7534 0.8647 0.0759  2 As 2.49-2.51, 1 Au 2.54
17 As 0.9966 0.6353 0.4241  2 As 2.49-2.51, 1 Au 2.54
18 As 0.6940 0.1353 0.9241  2 As 2.49-2.51, 1 Au 2.54
19 As 0.0721 0.8558 0.5000  2 As 2.51, 1 Au 2.66
20 As 0.1707 0.1353 0.0759  2 As 2.49-2.51, 1 Au 2.54
21 As 0.0560 0.3647 0.5759  2 As 2.49-2.51, 1 Au 2.54
22 As 0.4279 0.1442 0.5000  2 As 2.51, 1 Au 2.66
23 As 0.6779 0.6442 0.0000  2 As 2.51, 1 Au 2.66
24 As 0.5793 0.3647 0.4241  2 As 2.49-2.51, 1 Au 2.54

Summary:
E_form = -1.60 eV per formula unit
DOS(E_F) = 1.46 states/eV per cell
uncorrected energy = -85.841 eV per cell

What is the uncorrected energy in the first record? -9.737 eV per cell